First-principles (PBE) data for crystalline TlC3Br at its relaxed geometry, as listed in Alexandria via LeMat-Bulk.

Output
- E_form (uncorrected): 3397 meV per atom
- Final energy: -14.73 eV/f.u.
- Magnetic moment: 0.00 μB/f.u.

a b c (Å): 4.246 4.246 4.246
angles (deg): 90.00 90.00 90.00
Element x y z (fractional)
Tl (0.000, 0.000, 0.000)
C (0.000, 0.500, 0.500)
C (0.500, 0.000, 0.500)
C (0.500, 0.500, 0.000)
Br (0.500, 0.500, 0.500)